No. 1
Material: Cs2RbOs
Method: DFT, SCAN
State: single point on PBEsol structure

Results
Its calculated formation energy is 1.371 eV/atom.

a b c (Å): 8.2113 8.2113 8.2113
angles (deg): 90.00 90.00 90.00
Closest atoms and distances in Å follow each position.
Space group Fm-3m (No. 225)
Asymmetric unit:
Cs  0.2500  0.2500  0.2500 x8  4 Os 3.56, 4 Rb 3.56
Rb  0.0000  0.0000  0.0000 x4  8 Cs 3.56
Os  0.0000  0.0000  0.5000 x4  8 Cs 3.56

=====

No. 2
Material: CsYReOs2
Method: DFT, SCAN
State: single point on PBEsol structure

Results
Its calculated formation energy is 1.715 eV/atom.

a b c (Å): 4.7878 4.7878 5.2655
angles (deg): 90.00 90.00 90.00
Closest atoms and distances in Å follow each position.
Space group P4/mmm (No. 123)
Asymmetric unit:
Cs  0.0000  0.0000  0.0000 x1  2 Re 2.63
Y  0.5000  0.5000  0.0000 x1  4 Cs 3.39, 8 Os 3.56
Re  0.0000  0.0000  0.5000 x1  4 Os 2.39, 2 Cs 2.63
Os  0.0000  0.5000  0.5000 x2  2 Re 2.39

=====

No. 3
Material: CsSb2TeOs
Method: DFT, SCAN
State: single point on PBEsol structure

Results
The calculated total energy comes out at -41.511 eV per atom.

a b c (Å): 5.9872 5.9872 5.8692
angles (deg): 90.00 90.00 90.00
Closest atoms and distances in Å follow each position.
Space group P4/mmm (No. 123)
Asymmetric unit:
Cs  0.0000  0.0000  0.0000 x1  2 Te 2.93, 4 Sb 2.99
Sb  0.0000  0.5000  0.0000 x2  2 Cs 2.99
Te  0.0000  0.0000  0.5000 x1  2 Cs 2.93
Os  0.5000  0.5000  0.5000 x1  8 Sb 4.19, 4 Te 4.23

=====

No. 4
Material: CsSbTe2Os
Method: DFT, SCAN
State: single point on PBEsol structure

Results
The calculated total energy comes out at -44.102 eV per atom.

a b c (Å): 5.5500 5.5500 5.0081
angles (deg): 90.00 90.00 90.00
Closest atoms and distances in Å follow each position.
Space group P4/mmm (No. 123)
Asymmetric unit:
Cs  0.0000  0.0000  0.0000 x1  8 Te 3.74, 4 Sb 3.92
Sb  0.5000  0.5000  0.0000 x1  2 Os 2.50
Te  0.0000  0.5000  0.5000 x2  2 Os 2.77
Os  0.5000  0.5000  0.5000 x1  2 Sb 2.50, 4 Te 2.77

=====

No. 5
Material: CsTa2Os
Method: DFT, SCAN
State: single point on PBEsol structure

Results
Its calculated formation energy is 1.616 eV/atom.

a b c (Å): 6.6763 6.6763 6.6763
angles (deg): 90.00 90.00 90.00
Closest atoms and distances in Å follow each position.
Space group Fm-3m (No. 225)
Asymmetric unit:
Cs  0.0000  0.0000  0.0000 x4  8 Ta 2.89
Ta  0.2500  0.2500  0.2500 x8  4 Os 2.89, 4 Cs 2.89
Os  0.0000  0.0000  0.5000 x4  8 Ta 2.89

=====

No. 6
Material: CsTa3Os
Method: DFT, SCAN
State: single point on PBEsol structure

Results
Its calculated formation energy is 3.910 eV/atom.

a b c (Å): 4.8503 4.8503 4.8503
angles (deg): 90.00 90.00 90.00
Closest atoms and distances in Å follow each position.
Space group Pm-3m (No. 221)
Asymmetric unit:
Cs  0.0000  0.0000  0.0000 x1  6 Ta 2.43
Ta  0.0000  0.0000  0.5000 x3  2 Cs 2.43
Os  0.5000  0.5000  0.5000 x1  12 Ta 3.43

=====

No. 7
Material: Cs3TeOs
Method: DFT, SCAN
State: single point on PBEsol structure

Results
The calculated total energy comes out at -43.841 eV per atom.

a b c (Å): 5.6860 5.6860 5.6860
angles (deg): 90.00 90.00 90.00
Closest atoms and distances in Å follow each position.
Space group Pm-3m (No. 221)
Asymmetric unit:
Cs  0.0000  0.0000  0.5000 x3  2 Os 2.84
Te  0.5000  0.5000  0.5000 x1  12 Cs 4.02
Os  0.0000  0.0000  0.0000 x1  6 Cs 2.84

=====

No. 8
Material: CsTiOs3
Method: DFT, SCAN
State: single point on PBEsol structure

Results
Its calculated formation energy is 2.094 eV/atom.

a b c (Å): 4.7348 4.7348 4.7348
angles (deg): 90.00 90.00 90.00
Closest atoms and distances in Å follow each position.
Space group Pm-3m (No. 221)
Asymmetric unit:
Cs  0.0000  0.0000  0.0000 x1  12 Os 3.35
Ti  0.5000  0.5000  0.5000 x1  6 Os 2.37
Os  0.0000  0.5000  0.5000 x3  2 Ti 2.37

=====

Size of the total moment in μB per cell, matching the order above: 4.32 0.00 3.71 1.74 0.00 0.00 0.49 3.19